First-principles (meta-GGA SCAN) data for a crystal of LiBe2Re relaxed with PBEsol, as listed in Alexandria.

Cell lengths 3.9024, 3.9024, 3.9024 Å; angles 60.00, 60.00, 60.00 degrees
With the nearest neighbours (Å) after each atom.
Atoms (fractional coordinates):
Li 0.0000 0.0000 0.0000  8 Be 2.39
Be 0.2500 0.2500 0.2500  4 Re 2.39, 4 Li 2.39
Be 0.7500 0.7500 0.7500  4 Re 2.39, 4 Li 2.39
Re 0.5000 0.5000 0.5000  8 Be 2.39

Values from the calculation:
- SG = No. 225
- DFT formation energy (eV per atom) = 0.25